# 1
## BaAlAs2Ru (PBE)

Data for BaAlAs2Ru after structural relaxation.

Cell lengths 5.858, 5.251, 5.858 Å; angles 90.00, 90.00, 90.00 degrees
Each line ends with the local moment (μB).
Positions (direct):
Ru  0.000  0.500  0.000  1.68
As  0.000  0.000  0.500  0.05
As  0.500  0.000  0.000  0.13
Ba  0.000  0.000  0.000  -0.03
Al  0.500  0.500  0.500  0.00

Output
formation energy: 1.77 eV/atom

# 2
## BaAlAs2Se8 (PBE)

Data for BaAlAs2Se8 after structural relaxation.

Cell lengths 6.423, 6.423, 9.541 Å; angles 90.00, 90.00, 120.00 degrees
Positions (direct):
Ba  0.000  0.000  0.000
Al  0.000  0.000  0.500
As  0.667  0.333  0.265
As  0.333  0.667  0.735
Se  0.333  0.667  0.980
Se  0.274  0.289  0.314
Se  0.711  0.984  0.314
Se  0.667  0.333  0.020
Se  0.289  0.016  0.686
Se  0.726  0.711  0.686
Se  0.984  0.274  0.686
Se  0.016  0.726  0.314

Output
ΔE_f (raw): -0.45 eV/atom

# 3
## BaAlSn2As (PBE)

Data for BaAlSn2As after structural relaxation.

Cell lengths 5.390, 5.195, 5.390 Å; angles 90.00, 90.00, 90.00 degrees
Positions (direct):
As  0.000  0.500  0.000
Al  0.000  0.000  0.000
Ba  0.500  0.500  0.500
Sn  0.000  0.000  0.500
Sn  0.500  0.000  0.000

Output
formation energy: -0.13 eV/atom

# 4
## Be4AlAs (PBE)

Data for Be4AlAs after structural relaxation.

Cell lengths 4.580, 4.580, 4.580 Å; angles 60.00, 60.00, 60.00 degrees
Positions (direct):
Be  0.871  0.376  0.376
Be  0.376  0.376  0.871
Be  0.376  0.871  0.376
Be  0.376  0.376  0.376
Al  0.750  0.750  0.750
As  0.000  0.000  0.000

Output
formation energy: 0.30 eV/atom